Entry 1:
# PrAu | Alexandria via LeMat-Bulk | meta-GGA SCAN | PBEsol geometry
data_PrAu
_chemical_formula_sum 'Pr4 Au4'
_space_group_name_H-M_alt 'P 1'
_space_group_IT_number 1
_cell_length_a 4.757
_cell_length_b 5.782
_cell_length_c 7.440
_cell_angle_alpha 90.00
_cell_angle_beta 90.00
_cell_angle_gamma 90.00
loop_
_space_group_symop_operation_xyz
'x,y,z'
loop_
_atom_site_label
_atom_site_type_symbol
_atom_site_fract_x
_atom_site_fract_y
_atom_site_fract_z
_atom_site_occupancy
Pr1 Pr 0.250 0.858 0.685 1
Au1 Au 0.750 0.646 0.461 1
Au2 Au 0.250 0.354 0.539 1
Pr2 Pr 0.250 0.642 0.185 1
Pr3 Pr 0.750 0.358 0.815 1
Au3 Au 0.750 0.854 0.961 1
Au4 Au 0.250 0.146 0.039 1
Pr4 Pr 0.750 0.142 0.315 1
# SG ... No. 62
# Calculated total energy ... -57.28 eV per atom


Entry 2:
# PrAu2 | Alexandria via LeMat-Bulk | meta-GGA SCAN | PBEsol geometry
data_PrAu2
_chemical_formula_sum 'Pr2 Au4'
_space_group_name_H-M_alt 'P 1'
_space_group_IT_number 1
_cell_length_a 4.611
_cell_length_b 5.895
_cell_length_c 5.895
_cell_angle_alpha 73.25
_cell_angle_beta 66.98
_cell_angle_gamma 66.98
loop_
_space_group_symop_operation_xyz
'x,y,z'
loop_
_atom_site_label
_atom_site_type_symbol
_atom_site_fract_x
_atom_site_fract_y
_atom_site_fract_z
_atom_site_occupancy
Au1 Au 0.162 0.300 0.375 1
Pr1 Pr 0.461 0.289 0.789 1
Au2 Au 0.838 0.125 0.200 1
Pr2 Pr 0.539 0.711 0.211 1
Au3 Au 0.162 0.875 0.800 1
Au4 Au 0.838 0.700 0.625 1
# SG ... No. 74
# Calculated total energy ... -61.52 eV per atom


Number 1: size of the total moment 0.0 μB per formula unit, ΔE_f -1.0375 eV per atom. Number 2: size of the total moment 0.0 μB per formula unit, ΔE_f -0.9707 eV per atom.